Entry 1:
A plane-wave DFT calculation with PBE-GGA was carried out for an optimized crystal structure of NdSm2Tm3S6.

Summary:
* formation energy (no corrections): -1.9854 eV/atom

a = 3.8928 Å, b = 7.9749 Å, c = 8.8465 Å
α = 104.52°, β = 102.71°, γ = 90.00°
With the nearest neighbours (Å) after each atom.
Element x y z (fractional)
Nd 0.5000 0.0000 0.0000  6 S 2.87
Sm 0.8336 0.6674 0.6672  6 S 2.84-2.86
Sm 0.1664 0.3326 0.3328  6 S 2.84-2.86
Tm 0.5000 0.5000 0.0000  6 S 2.70-2.72
Tm 0.8340 0.1669 0.6679  6 S 2.71-2.72
Tm 0.1660 0.8331 0.3321  6 S 2.71-2.72
S 0.3282 0.9257 0.6565  3 Tm 2.71-2.72, 2 Sm 2.85, 1 Nd 2.87
S 0.6632 0.5927 0.3263  3 Tm 2.72, 3 Sm 2.85-2.86
S 0.6718 0.0743 0.3435  3 Tm 2.71-2.72, 2 Sm 2.85, 1 Nd 2.87
S 0.9965 0.2631 0.9931  3 Tm 2.70-2.71, 1 Sm 2.84, 2 Nd 2.87
S 0.0035 0.7369 0.0069  3 Tm 2.70-2.71, 1 Sm 2.84, 2 Nd 2.87
S 0.3368 0.4073 0.6737  3 Tm 2.72, 3 Sm 2.85-2.86

***

Entry 2:
A plane-wave DFT calculation with PBE-GGA was carried out for an optimized crystal structure of Nd2SmTm3S6.

Summary:
* formation energy (no corrections): -1.9873 eV/atom

a = 3.8962 Å, b = 8.0101 Å, c = 8.8798 Å
α = 104.77°, β = 102.67°, γ = 90.00°
With the nearest neighbours (Å) after each atom.
Element x y z (fractional)
Nd 0.8332 0.6665 0.6664  6 S 2.87-2.88
Nd 0.1668 0.3335 0.3336  6 S 2.87-2.88
Sm 0.5000 0.0000 0.0000  6 S 2.85-2.86
Tm 0.5000 0.5000 0.0000  6 S 2.71-2.73
Tm 0.8328 0.1667 0.6655  6 S 2.71-2.72
Tm 0.1672 0.8333 0.3345  6 S 2.71-2.72
S 0.3299 0.9301 0.6598  3 Tm 2.71-2.72, 1 Sm 2.85, 2 Nd 2.88
S 0.6618 0.5956 0.3235  3 Tm 2.71, 3 Nd 2.87-2.88
S 0.6701 0.0699 0.3402  3 Tm 2.71-2.72, 1 Sm 2.85, 2 Nd 2.88
S 0.9950 0.2590 0.9900  3 Tm 2.71-2.73, 2 Sm 2.86, 1 Nd 2.88
S 0.0050 0.7410 0.0100  3 Tm 2.71-2.73, 2 Sm 2.86, 1 Nd 2.88
S 0.3382 0.4044 0.6765  3 Tm 2.71, 3 Nd 2.87-2.88

***

Entry 3:
A plane-wave DFT calculation with PBE-GGA was carried out for an optimized crystal structure of NdSmTm2S4.

Summary:
* formation energy (no corrections): -1.9851 eV/atom

a = 3.8758 Å, b = 6.9862 Å, c = 6.7539 Å
α = 71.37°, β = 90.00°, γ = 90.00°
With the nearest neighbours (Å) after each atom.
Element x y z (fractional)
Nd 0.5000 0.5000 0.0000  6 S 2.88
Sm 0.0000 0.5000 0.5000  6 S 2.86
Tm 0.0000 0.0000 0.0000  6 S 2.72-2.73
Tm 0.5000 0.0000 0.5000  6 S 2.70-2.71
S 0.0000 0.7705 0.7408  3 Tm 2.70-2.73, 1 Sm 2.86, 2 Nd 2.88
S 0.0000 0.2295 0.2592  3 Tm 2.70-2.73, 1 Sm 2.86, 2 Nd 2.88
S 0.5000 0.7689 0.2455  3 Tm 2.71-2.72, 2 Sm 2.86, 1 Nd 2.88
S 0.5000 0.2311 0.7545  3 Tm 2.71-2.72, 2 Sm 2.86, 1 Nd 2.88

***

Table of density (Mg/m³), in record order: 7.34, 7.24, 7.29
Table of magnetic moment (μB/cell), in record order: 0.0, 0.0, 0.0